1.
Below is RbCu3Ge3 after structural relaxation, with properties calculated at the PBE level.

CIF file:
```
data_RbCu3Ge3
_cell_length_a 6.826
_cell_length_b 6.826
_cell_length_c 6.826
_cell_angle_alpha 90.00
_cell_angle_beta 90.00
_cell_angle_gamma 90.00
_symmetry_space_group_name_H-M 'P m -3 n'
_symmetry_Int_Tables_number 223
_symmetry_space_group_name_Hall '-P 4n 2 3'
loop_
_atom_site_label
_atom_site_type_symbol
_atom_site_fract_x
_atom_site_fract_y
_atom_site_fract_z
Rb1 Rb 0.000 0.000 0.000
Cu1 Cu 0.000 0.250 0.500
Ge1 Ge 0.000 0.500 0.250
```

Summary:
**Calculated formation energy**: 0.205 eV/atom
**Total DFT energy (no corrections)**: -3.668 eV/atom

***

2.
Below is RbCuGe2 after structural relaxation, with properties calculated at the PBE level.

CIF file:
```
data_RbCuGe2
_cell_length_a 7.102
_cell_length_b 7.102
_cell_length_c 7.102
_cell_angle_alpha 90.00
_cell_angle_beta 90.00
_cell_angle_gamma 90.00
_symmetry_space_group_name_H-M 'F m -3 m'
_symmetry_Int_Tables_number 225
_symmetry_space_group_name_Hall '-F 4 2 3'
loop_
_atom_site_label
_atom_site_type_symbol
_atom_site_fract_x
_atom_site_fract_y
_atom_site_fract_z
Rb1 Rb 0.000 0.000 0.000
Cu1 Cu 0.000 0.000 0.500
Ge1 Ge 0.250 0.250 0.250
```

Summary:
**Calculated formation energy**: 0.642 eV/atom
**Total DFT energy (no corrections)**: -2.933 eV/atom
**Energy above the lowest structure with this stoichiometry**: 16.087 kcal/mol of atoms

***

3.
Below is RbCuGe after structural relaxation, with properties calculated at the PBE level.

CIF file:
```
data_RbCuGe
_cell_length_a 4.651
_cell_length_b 6.674
_cell_length_c 6.755
_cell_angle_alpha 104.59
_cell_angle_beta 100.97
_cell_angle_gamma 96.20
_symmetry_space_group_name_H-M 'P 1'
_symmetry_Int_Tables_number 1
loop_
_symmetry_equiv_pos_as_xyz
'x,y,z'
loop_
_atom_site_label
_atom_site_type_symbol
_atom_site_fract_x
_atom_site_fract_y
_atom_site_fract_z
Rb1 Rb 0.000 0.000 0.000
Rb2 Rb 0.317 0.380 0.633
Cu1 Cu 0.087 0.827 0.450
Cu2 Cu 0.224 0.552 0.182
Ge1 Ge 0.595 0.858 0.444
Ge2 Ge 0.717 0.521 0.189
```

Summary:
**Calculated formation energy**: 0.029 eV/atom
**Total DFT energy (no corrections)**: -3.198 eV/atom
**Energy above the lowest structure with this stoichiometry**: 0.389 kcal/mol of atoms

***

4.
Below is Rb3CuGe4 after structural relaxation, with properties calculated at the PBE level.

CIF file:
```
data_Rb3CuGe4
_cell_length_a 6.960
_cell_length_b 12.777
_cell_length_c 5.966
_cell_angle_alpha 90.00
_cell_angle_beta 90.00
_cell_angle_gamma 90.00
_symmetry_space_group_name_H-M 'P m m n'
_symmetry_Int_Tables_number 59
loop_
_symmetry_equiv_pos_as_xyz
'x,y,z'
'-x,-y,-z'
'-x+1/2,-y+1/2,z'
'x+1/2,y+1/2,-z'
'x+1/2,-y,-z'
'-x+1/2,y,z'
'-x,y+1/2,-z'
'x,-y+1/2,z'
loop_
_atom_site_label
_atom_site_type_symbol
_atom_site_fract_x
_atom_site_fract_y
_atom_site_fract_z
Rb1 Rb 0.250 0.013 0.164
Rb2 Rb 0.250 0.250 0.561
Cu1 Cu 0.250 0.750 0.309
Ge1 Ge 0.056 0.750 0.954
Ge2 Ge 0.250 0.644 0.662
```

Summary:
**Calculated formation energy**: -0.189 eV/atom
**Total DFT energy (no corrections)**: -3.373 eV/atom